[1]
Below is a relaxed structure of NiGe3C, with properties calculated at the GGA-PBE level.

Summary:
Magnetization (μB per cell): 0.0
Uncorrected energy (eV per atom): -4.757
Energy above the most stable polymorph in this dataset (meV/atom): 0
Calculated density (kg/m³): 6325
Space group: Pm-3m, No. 221

a = 4.232 Å, b = 4.232 Å, c = 4.232 Å
α = 90.00°, β = 90.00°, γ = 90.00°
Positions (direct):
Ni: 0.000 0.000 0.000
Ge: 0.000 0.500 0.500
Ge: 0.500 0.000 0.500
Ge: 0.500 0.500 0.000
C: 0.500 0.500 0.500

***

[2]
Below is a relaxed structure of BeAgSb2, with properties calculated at the GGA-PBE level.

Summary:
Magnetization (μB per cell): 0.0
Uncorrected energy (eV per atom): -3.375
Calculated density (kg/m³): 5771
Space group: I-42d, No. 122
Formation energy from raw total energies (meV per atom): 331

a = 6.120 Å, b = 6.120 Å, c = 11.073 Å
α = 90.00°, β = 90.00°, γ = 90.00°
Positions (direct):
Be: 0.000 0.000 0.000
Be: 0.000 0.500 0.250
Be: 0.500 0.000 0.750
Be: 0.500 0.500 0.500
Ag: 0.000 0.000 0.500
Ag: 0.000 0.500 0.750
Ag: 0.500 0.000 0.250
Ag: 0.500 0.500 0.000
Sb: 0.200 0.250 0.125
Sb: 0.250 0.700 0.375
Sb: 0.250 0.800 0.875
Sb: 0.300 0.250 0.625
Sb: 0.700 0.750 0.625
Sb: 0.750 0.200 0.875
Sb: 0.750 0.300 0.375
Sb: 0.800 0.750 0.125

***

[3]
Below is a relaxed structure of Hf2ZrAgN, with properties calculated at the GGA-PBE level.

Summary:
Magnetization (μB per cell): 0.0
Uncorrected energy (eV per atom): -8.652
Calculated density (kg/m³): 10753
Space group: P4/mmm, No. 123
Formation energy from raw total energies (meV per atom): -725

a = 4.422 Å, b = 4.422 Å, c = 4.501 Å
α = 90.00°, β = 90.00°, γ = 90.00°
Positions (direct):
Hf: 0.000 0.500 0.000
Hf: 0.500 0.000 0.000
Zr: 0.000 0.000 0.500
Ag: 0.500 0.500 0.500
N: 0.000 0.000 0.000

***

[4]
Below is a relaxed structure of Tb5Dy2Tl, with properties calculated at the GGA-PBE level.

Summary:
Magnetization (μB per cell): 0.0
Uncorrected energy (eV per atom): -4.328
Energy above the most stable polymorph in this dataset (meV/atom): 48
Calculated density (kg/m³): 8772
Space group: C2/m, No. 12

a = 21.361 Å, b = 6.693 Å, c = 3.555 Å
α = 90.00°, β = 99.50°, γ = 90.00°
Positions (direct):
Tb: 0.000 0.000 0.000
Tb: 0.115 0.251 0.614
Tb: 0.115 0.749 0.614
Tb: 0.385 0.249 0.386
Tb: 0.385 0.751 0.386
Tb: 0.500 0.500 0.000
Tb: 0.615 0.249 0.614
Tb: 0.615 0.751 0.614
Tb: 0.885 0.251 0.386
Tb: 0.885 0.749 0.386
Dy: 0.239 0.000 0.238
Dy: 0.261 0.500 0.762
Dy: 0.739 0.500 0.238
Dy: 0.761 0.000 0.762
Tl: 0.000 0.500 0.000
Tl: 0.500 0.000 0.000

***

[5]
Below is a relaxed structure of La2DyGe3Rh4, with properties calculated at the GGA-PBE level.

Summary:
Magnetization (μB per cell): 0.0
Uncorrected energy (eV per atom): -6.680
Calculated density (kg/m³): 8841
Space group: P-4m2, No. 115

a = 4.230 Å, b = 4.230 Å, c = 11.231 Å
α = 90.00°, β = 90.00°, γ = 90.00°
Positions (direct):
La: 0.000 0.500 0.233
La: 0.500 0.000 0.767
Dy: 0.000 0.000 0.500
Ge: 0.000 0.500 0.880
Ge: 0.500 0.000 0.120
Ge: 0.500 0.500 0.500
Rh: 0.000 0.000 0.000
Rh: 0.000 0.500 0.658
Rh: 0.500 0.000 0.342
Rh: 0.500 0.500 0.000

***

[6]
Below is a relaxed structure of K2TaPdRh, with properties calculated at the GGA-PBE level.

Summary:
Magnetization (μB per cell): 1.1
Uncorrected energy (eV per atom): -3.921
Calculated density (kg/m³): 3986
Space group: P4/mmm, No. 123

a = 6.531 Å, b = 6.531 Å, c = 4.575 Å
α = 90.00°, β = 90.00°, γ = 90.00°
Positions (direct):
K: 0.000 0.500 0.000
K: 0.500 0.000 0.000
Ta: 0.000 0.000 0.000
Pd: 0.500 0.500 0.500
Rh: 0.000 0.000 0.500

***

[7]
Below is a relaxed structure of Nd2HPt, with properties calculated at the GGA-PBE level.

Summary:
Magnetization (μB per cell): 0.0
Uncorrected energy (eV per atom): -5.285
Energy above the most stable polymorph in this dataset (meV/atom): 133
Calculated density (kg/m³): 8640
Space group: R3m, No. 160

a = 3.924 Å, b = 3.924 Å, c = 20.954 Å
α = 90.00°, β = 90.00°, γ = 120.00°
Positions (direct):
Nd: 0.000 0.000 0.000
Nd: 0.000 0.000 0.164
Nd: 0.333 0.667 0.667
Nd: 0.333 0.667 0.831
Nd: 0.667 0.333 0.333
Nd: 0.667 0.333 0.497
H: 0.000 0.000 0.752
H: 0.333 0.667 0.419
H: 0.667 0.333 0.085
Pt: 0.000 0.000 0.582
Pt: 0.333 0.667 0.249
Pt: 0.667 0.333 0.915

***

[8]
Below is a relaxed structure of HfAgSnPd, with properties calculated at the GGA-PBE level.

Summary:
Magnetization (μB per cell): 0.0
Uncorrected energy (eV per atom): -5.822
Calculated density (kg/m³): 11300
Space group: F-43m, No. 216

a = 6.699 Å, b = 6.699 Å, c = 6.699 Å
α = 90.00°, β = 90.00°, γ = 90.00°
Positions (direct):
Hf: 0.000 0.000 0.000
Hf: 0.000 0.500 0.500
Hf: 0.500 0.000 0.500
Hf: 0.500 0.500 0.000
Ag: 0.250 0.250 0.250
Ag: 0.250 0.750 0.750
Ag: 0.750 0.250 0.750
Ag: 0.750 0.750 0.250
Sn: 0.000 0.000 0.500
Sn: 0.000 0.500 0.000
Sn: 0.500 0.000 0.000
Sn: 0.500 0.500 0.500
Pd: 0.250 0.250 0.750
Pd: 0.250 0.750 0.250
Pd: 0.750 0.250 0.250
Pd: 0.750 0.750 0.750

***

The lowest calculated density belongs to which entry? K2TaPdRh